i:
{"formula": "Tm2SiH", "functional": "PBE-GGA", "state": "relaxed", "lattice_angstrom": [[4.301, 0.000, 0.000], [2.150, 3.724, 0.000], [2.150, 1.241, 6.764]], "species": ["H", "Si", "Tm", "Tm"], "frac_coords": [[0.000, 0.000, 0.000], [0.500, 0.500, 0.500], [0.102, 0.102, 0.693], [0.898, 0.898, 0.307]], "magnetic_moment_mub_per_cell": 0.0, "rho_g_cm3": 5.62, "n_ef_per_ev_atom": 0.84, "volume_a3_per_atom": 27.08}

***

ii:
{"formula": "Tm2SiH", "functional": "PBE-GGA", "state": "relaxed", "lattice_angstrom": [[-3.216, 4.470, 2.541], [-5.157, 0.971, 3.046], [-2.018, 1.899, 5.391]], "species": ["Tm", "Tm", "H", "Si"], "frac_coords": [[0.046, 0.492, 0.737], [0.557, 0.000, 0.251], [0.300, 0.746, 0.995], [0.801, 0.246, 0.494]], "magnetic_moment_mub_per_cell": 0.0, "rho_g_cm3": 7.75, "n_ef_per_ev_atom": 0.66, "volume_a3_per_atom": 19.66}

***

It is i that is the least stable of them.

***

i:
{"formula": "VSiH", "functional": "PBE-GGA", "state": "relaxed", "lattice_angstrom": [[-0.199, 2.396, 2.478], [-2.928, -0.922, 0.657], [2.432, -1.326, 1.477]], "species": ["H", "V", "Si"], "frac_coords": [[0.099, 0.000, 0.000], [0.204, 0.667, 0.333], [0.697, 0.333, 0.667]], "magnetic_moment_mub_per_cell": 0.0, "rho_g_cm3": 4.51, "n_ef_per_ev_atom": 0.33, "volume_a3_per_atom": 9.82}

***

ii:
{"formula": "VSiH", "functional": "PBE-GGA", "state": "relaxed", "lattice_angstrom": [[-2.762, 3.817, 2.570], [-0.962, -3.217, 3.745], [4.151, 2.788, 0.320]], "species": ["V", "V", "V", "V", "H", "H", "H", "H", "Si", "Si", "Si", "Si"], "frac_coords": [[0.358, 0.340, 0.427], [0.858, 0.660, 0.573], [0.872, 0.159, 0.075], [0.372, 0.841, 0.925], [0.098, 0.925, 0.759], [0.219, 0.215, 0.065], [0.598, 0.075, 0.241], [0.719, 0.785, 0.935], [0.940, 0.158, 0.573], [0.440, 0.842, 0.427], [0.017, 0.641, 0.089], [0.517, 0.359, 0.911]], "magnetic_moment_mub_per_cell": 0.0, "rho_g_cm3": 4.44, "n_ef_per_ev_atom": 0.50, "volume_a3_per_atom": 9.97}

***

It is ii that is the least stable of them.